# 1
Below is crystalline Al2TcMo at its relaxed geometry, with properties calculated at the PBE level.

Output
raw total energy: -7.333 eV/atom
relative energy among the computed polymorphs: 0.199 eV per atom
ΔE_f: -162.1 meV per atom

a b c (Å): 2.732 2.732 8.400
angles (deg): 90.00 90.00 107.75
Element x y z (fractional)
Mo: 0.500 0.500 0.250
Tc: 0.500 0.500 0.750
Al: 0.000 0.000 0.994
Al: 0.000 0.000 0.506

# 2
Below is crystalline YTlTe2I at its relaxed geometry, with properties calculated at the PBE level.

Output
raw total energy: -4.030 eV/atom
E_form (uncorrected): -0.70 eV per atom
relative energy among the computed polymorphs: 0.000 eV per atom

a b c (Å): 5.891 5.891 6.123
angles (deg): 90.00 90.00 90.00
Element x y z (fractional)
Te: 0.000 0.500 0.000
Te: 0.500 0.000 0.000
Tl: 0.500 0.500 0.500
Y: 0.000 0.000 0.000
I: 0.000 0.000 0.500

# 3
Below is crystalline NdGa2Ag5 at its relaxed geometry, with properties calculated at the PBE level.

Output
raw total energy: -3.313 eV/atom
ΔE_f: -178.3 meV per atom

a b c (Å): 4.160 6.665 6.665
angles (deg): 70.79 71.81 71.81
Element x y z (fractional)
Ag: 0.646 0.541 0.167
Ag: 0.354 0.459 0.833
Ag: 0.354 0.833 0.459
Ga: 0.736 0.764 0.764
Ga: 0.264 0.236 0.236
Ag: 0.646 0.167 0.541
Nd: 0.000 0.000 0.000
Ag: 0.000 0.500 0.500

# 4
Below is crystalline RbHSe2 at its relaxed geometry, with properties calculated at the PBE level.

Output
raw total energy: -2.969 eV/atom
relative energy among the computed polymorphs: 0.000 eV per atom

a b c (Å): 5.495 5.495 7.723
angles (deg): 69.16 69.16 90.00
Element x y z (fractional)
Rb: 0.000 0.000 0.000
Rb: 0.750 0.250 0.500
H: 0.500 0.500 0.000
Se: 0.875 0.625 0.750
Se: 0.375 0.125 0.250
H: 0.250 0.750 0.500
Se: 0.375 0.625 0.750
Se: 0.375 0.625 0.250

# 5
Below is crystalline LiCaGa6 at its relaxed geometry, with properties calculated at the PBE level.

Output
raw total energy: -2.853 eV/atom
relative energy among the computed polymorphs: 0.140 eV per atom
ΔE_f: -93.8 meV per atom

a b c (Å): 5.460 5.460 5.460
angles (deg): 90.00 90.00 90.00
Element x y z (fractional)
Ga: 0.000 0.500 0.241
Ga: 0.000 0.500 0.759
Li: 0.000 0.000 0.000
Ga: 0.500 0.241 0.000
Ga: 0.759 0.000 0.500
Ca: 0.500 0.500 0.500
Ga: 0.500 0.759 0.000
Ga: 0.241 0.000 0.500

# 6
Below is crystalline Mn2CoPd at its relaxed geometry, with properties calculated at the PBE level.

Output
raw total energy: -7.725 eV/atom
relative energy among the computed polymorphs: 0.000 eV per atom
ΔE_f: -65.6 meV per atom

a b c (Å): 2.963 2.963 6.162
angles (deg): 90.00 90.00 90.00
Site moments in Bohr magnetons follow the coordinates.
Element x y z (fractional)
Mn: 0.000 0.000 0.773  3.51
Pd: 0.500 0.500 0.500  0.38
Co: 0.500 0.500 0.000  1.52
Mn: 0.000 0.000 0.227  3.51